Version w
VASP calculation (PBE) on BaCo2I after structural relaxation.

a b c (Å): 4.9994 4.9994 4.9994
angles (deg): 60.00 60.00 60.00
Last column: nearest neighbours and their distance in Å.
Sites, in units of the cell vectors:
I: 0.0000 0.0000 0.0000  8 Co 3.06
Co: 0.2500 0.2500 0.2500  4 Ba 3.06, 4 I 3.06
Co: 0.7500 0.7500 0.7500  4 Ba 3.06, 4 I 3.06
Ba: 0.5000 0.5000 0.5000  8 Co 3.06

Output
Space group = Fm-3m
Volume = 88 Å³ per cell

---

Version x
VASP calculation (PBE) on BaCo2I after structural relaxation.

a b c (Å): 5.0165 5.0165 9.0462
angles (deg): 73.90 73.90 90.00
Last column: nearest neighbours and their distance in Å.
Sites, in units of the cell vectors:
I: 0.5000 0.5000 0.0000  4 Co 2.43
I: 0.2500 0.7500 0.5000  4 Co 2.43
Co: 0.3751 0.1250 0.2500  2 I 2.43, 2 Co 2.51
Co: 0.3749 0.6250 0.2500  2 I 2.43, 2 Co 2.51
Co: 0.3750 0.6249 0.7500  2 I 2.43, 2 Co 2.51
Co: 0.8750 0.6251 0.7500  2 I 2.43, 2 Co 2.51
Ba: 0.0000 0.0000 0.0000  8 Co 3.49, 4 I 3.55
Ba: 0.7500 0.2500 0.5000  8 Co 3.49, 4 I 3.55

Output
Space group = I4_1/amd
Volume = 209 Å³ per cell

---

Q: What are the energies relative to the best structure? A: version w 0.489; version x 0.000, in eV/atom.

---

Version w
VASP calculation (PBE) on BaCo3I after structural relaxation.

a b c (Å): 4.8037 4.8037 4.8037
angles (deg): 90.00 90.00 90.00
Last column: nearest neighbours and their distance in Å.
Sites, in units of the cell vectors:
I: 0.0000 0.0000 0.0000  6 Co 2.40
Co: 0.0000 0.5000 0.0000  2 I 2.40
Co: 0.0000 0.0000 0.5000  2 I 2.40
Co: 0.5000 0.0000 0.0000  2 I 2.40
Ba: 0.5000 0.5000 0.5000  12 Co 3.40

Output
Space group = Pm-3m
Volume = 111 Å³ per cell

---

Version x
VASP calculation (PBE) on BaCo3I after structural relaxation.

a b c (Å): 5.0861 5.0861 5.0861
angles (deg): 90.00 90.00 90.00
Last column: nearest neighbours and their distance in Å.
Sites, in units of the cell vectors:
I: 0.5000 0.5000 0.5000  12 Co 3.60
Co: 0.0000 0.5000 0.0000  2 Ba 2.54
Co: 0.0000 0.0000 0.5000  2 Ba 2.54
Co: 0.5000 0.0000 0.0000  2 Ba 2.54
Ba: 0.0000 0.0000 0.0000  6 Co 2.54

Output
Space group = Pm-3m
Volume = 132 Å³ per cell

---

Q: What are the energies relative to the best structure? A: version w 0.000; version x 1.108, in eV/atom.

---

Version w
VASP calculation (PBE) on BaCoI2N after structural relaxation.

a b c (Å): 6.7483 6.7483 4.7555
angles (deg): 90.00 90.00 90.00
Last column: nearest neighbours and their distance in Å.
Sites, in units of the cell vectors:
I: 0.0000 0.5000 0.0000  2 Ba 3.37
I: 0.5000 0.0000 0.0000  2 Ba 3.37
Co: 0.5000 0.5000 0.5000  8 I 4.13
Ba: 0.0000 0.0000 0.0000  2 N 2.38
N: 0.0000 0.0000 0.5000  2 Ba 2.38

Output
Space group = P4/mmm
Volume = 217 Å³ per cell

---

Version x
VASP calculation (PBE) on BaCoI2N after structural relaxation.

a b c (Å): 5.8969 5.8969 3.6679
angles (deg): 90.00 90.00 90.00
Last column: nearest neighbours and their distance in Å.
Sites, in units of the cell vectors:
I: 0.0000 0.5000 0.0000  2 Co 2.95
I: 0.5000 0.0000 0.0000  2 Co 2.95
Co: 0.0000 0.0000 0.0000  2 N 1.83
Ba: 0.5000 0.5000 0.5000  8 I 3.47, 2 Ba 3.67
N: 0.0000 0.0000 0.5000  2 Co 1.83

Output
Space group = P4/mmm
Volume = 128 Å³ per cell

---

Q: What are the energies relative to the best structure? A: version w 1.220; version x 0.000, in eV/atom.

---

Version w
VASP calculation (PBE) on BaCoTe2I after structural relaxation.

a b c (Å): 5.1962 5.1962 5.7631
angles (deg): 90.00 90.00 90.00
Last column: nearest neighbours and their distance in Å.
Sites, in units of the cell vectors:
I: 0.0000 0.0000 0.5000  2 Co 2.88
Te: 0.0000 0.5000 0.0000  2 Co 2.60
Te: 0.5000 0.0000 0.0000  2 Co 2.60
Co: 0.0000 0.0000 0.0000  4 Te 2.60, 2 I 2.88
Ba: 0.5000 0.5000 0.5000  4 I 3.67, 8 Te 3.88

Output
Space group = P4/mmm
Volume = 156 Å³ per cell

---

Version x
VASP calculation (PBE) on BaCoTe2I after structural relaxation.

a b c (Å): 6.7479 6.7479 6.6430
angles (deg): 90.00 90.00 90.00
Last column: nearest neighbours and their distance in Å.
Sites, in units of the cell vectors:
I: 0.0000 0.0000 0.5000  2 Ba 3.32
Te: 0.0000 0.5000 0.0000  2 Ba 3.37
Te: 0.5000 0.0000 0.0000  2 Ba 3.37
Co: 0.5000 0.5000 0.5000  8 Te 4.73, 4 I 4.77
Ba: 0.0000 0.0000 0.0000  2 I 3.32, 4 Te 3.37

Output
Space group = P4/mmm
Volume = 302 Å³ per cell

---

Q: What are the energies relative to the best structure? A: version w 0.000; version x 1.265, in eV/atom.

---

Version w
VASP calculation (PBE) on BaInCo3 after structural relaxation.

a b c (Å): 4.8914 4.8914 4.8914
angles (deg): 90.00 90.00 90.00
Last column: nearest neighbours and their distance in Å.
Sites, in units of the cell vectors:
Co: 0.0000 0.5000 0.0000  2 Ba 2.45
Co: 0.0000 0.0000 0.5000  2 Ba 2.45
Co: 0.5000 0.0000 0.0000  2 Ba 2.45
Ba: 0.0000 0.0000 0.0000  6 Co 2.45
In: 0.5000 0.5000 0.5000  12 Co 3.46

Output
Space group = Pm-3m
Volume = 117 Å³ per cell

---

Version x
VASP calculation (PBE) on BaInCo3 after structural relaxation.

a b c (Å): 4.9382 4.9382 4.9382
angles (deg): 90.00 90.00 90.00
Last column: nearest neighbours and their distance in Å.
Sites, in units of the cell vectors:
Co: 0.0000 0.5000 0.0000  2 In 2.47
Co: 0.0000 0.0000 0.5000  2 In 2.47
Co: 0.5000 0.0000 0.0000  2 In 2.47
Ba: 0.5000 0.5000 0.5000  12 Co 3.49
In: 0.0000 0.0000 0.0000  6 Co 2.47

Output
Space group = Pm-3m
Volume = 120 Å³ per cell

---

Q: What are the energies relative to the best structure? A: version w 1.014; version x 0.000, in eV/atom.

---

Version w
VASP calculation (PBE) on BaCoIr after structural relaxation.

a b c (Å): 4.1072 4.1072 4.9919
angles (deg): 90.00 90.00 120.00
Last column: nearest neighbours and their distance in Å.
Sites, in units of the cell vectors:
Ba: 0.0000 0.0000 0.9999  6 Ir 3.44, 6 Co 3.44
Co: 0.3333 0.6667 0.5000  3 Ir 2.37
Ir: 0.6667 0.3333 0.5001  3 Co 2.37

Output
Space group = P-6m2
Volume = 73 Å³ per cell

---

Version x
VASP calculation (PBE) on BaCoIr after structural relaxation.

a b c (Å): 6.0863 6.0863 6.0863
angles (deg): 149.74 144.18 47.57
Last column: nearest neighbours and their distance in Å.
Sites, in units of the cell vectors:
Ba: 0.0032 0.0032 0.0000  1 Co 2.98, 1 Ir 3.08, 2 Ba 3.18
Co: 0.2705 0.2705 0.0000  4 Ir 2.50
Ir: 0.7263 0.7263 0.0000  4 Co 2.50

Output
Space group = Imm2
Volume = 66 Å³ per cell

---

Version y
VASP calculation (PBE) on BaCoIr after structural relaxation.

a b c (Å): 4.6390 4.6390 4.6390
angles (deg): 60.00 60.00 60.00
Last column: nearest neighbours and their distance in Å.
Sites, in units of the cell vectors:
Ba: 0.5000 0.5000 0.5000  4 Co 2.84
Co: 0.7500 0.7500 0.7500  4 Ba 2.84, 4 Ir 2.84
Ir: 0.0000 0.0000 0.0000  4 Co 2.84

Output
Space group = F-43m
Volume = 71 Å³ per cell

---

Q: What are the energies relative to the best structure? A: version w 0.000; version x 0.240; version y 0.735, in eV/atom.